Entry 1:
Material: KInSi
Method: DFT, GGA-PBE
State: optimized geometry

a = 6.0746 Å, b = 6.9415 Å, c = 8.6376 Å
α = 97.76°, β = 101.23°, γ = 95.58°
Last column: nearest neighbours and their distance in Å.
Fractional positions:
K 0.1062 0.4622 0.2142  4 Si 3.45-3.86, 4 In 3.55-3.83, 3 K 3.60-3.80
K 0.3750 0.7510 0.6545  4 Si 3.40-3.69, 4 In 3.47-3.69, 2 K 3.60-3.66
K 0.6250 0.2490 0.3455  4 Si 3.40-3.69, 4 In 3.47-3.69, 2 K 3.60-3.66
K 0.8938 0.5378 0.7858  4 Si 3.45-3.86, 4 In 3.55-3.83, 3 K 3.60-3.80
In 0.1128 0.9715 0.3428  3 Si 2.68-2.73
In 0.4628 0.2623 0.9233  3 Si 2.77-2.89
In 0.5372 0.7377 0.0767  3 Si 2.77-2.89
In 0.8872 0.0285 0.6572  3 Si 2.68-2.73
Si 0.1954 0.0010 0.0531  1 Si 2.37
Si 0.2451 0.2512 0.6086  3 In 2.68-2.77
Si 0.7549 0.7488 0.3914  3 In 2.68-2.77
Si 0.8046 0.9990 0.9469  1 Si 2.37

Output
* raw total energy: -3.018 eV/atom
* space group: P-1

Entry 2:
Material: K2InSi
Method: DFT, GGA-PBE
State: optimized geometry

a = 5.5501 Å, b = 5.5501 Å, c = 5.5501 Å
α = 120.40°, β = 120.40°, γ = 89.31°
Last column: nearest neighbours and their distance in Å.
Fractional positions:
K 0.0000 0.0000 0.0000  4 K 3.39, 4 Si 3.39
K 0.7500 0.2500 0.5000  4 In 3.39, 4 K 3.39
In 0.5000 0.5000 0.0000  4 K 3.39, 4 Si 3.39
Si 0.2500 0.7500 0.5000  4 In 3.39, 4 K 3.39

Output
* ΔE to the lowest computed polymorph: 177 meV/atom
* space group: I-4m2

Entry 3:
Material: KInSi
Method: DFT, GGA-PBE
State: optimized geometry

a = 6.1301 Å, b = 6.1301 Å, c = 7.8788 Å
α = 128.00°, β = 128.00°, γ = 46.60°
Last column: nearest neighbours and their distance in Å.
Fractional positions:
K 0.2447 0.2447 0.1606  4 In 3.37-3.57, 6 Si 3.40-3.75, 2 K 3.56
K 0.7553 0.7553 0.8394  4 In 3.37-3.57, 6 Si 3.40-3.75, 2 K 3.56
In 0.4080 0.4080 0.7358  3 Si 2.82-2.85
In 0.5920 0.5920 0.2642  3 Si 2.82-2.85
Si 0.0712 0.0712 0.4326  1 Si 2.44
Si 0.9288 0.9288 0.5674  1 Si 2.44

Output
* raw total energy: -3.105 eV/atom
* space group: C2/m

Entry 4:
Material: KInSi
Method: DFT, GGA-PBE
State: optimized geometry

a = 4.4983 Å, b = 7.1632 Å, c = 7.1632 Å
α = 113.94°, β = 90.00°, γ = 90.00°
Last column: nearest neighbours and their distance in Å.
Fractional positions:
K 0.0000 0.0000 0.0000  2 Si 3.41, 2 In 3.53
K 0.0000 0.5000 0.5000  2 Si 3.41, 2 In 3.53
In 0.2811 0.5757 0.0757  3 Si 2.56-2.64
In 0.7189 0.0757 0.5757  3 Si 2.56-2.64
Si 0.2273 0.9118 0.4118  3 In 2.56-2.64
Si 0.7727 0.4118 0.9118  3 In 2.56-2.64

Output
* raw total energy: -2.995 eV/atom
* space group: Aem2

Entry 5:
Material: KInSi
Method: DFT, GGA-PBE
State: optimized geometry

a = 8.8066 Å, b = 8.8066 Å, c = 8.8066 Å
α = 154.58°, β = 143.61°, γ = 44.91°
Last column: nearest neighbours and their distance in Å.
Fractional positions:
K 0.3945 0.1445 0.2500  6 Si 3.53-3.62, 6 In 3.60-3.75, 4 K 3.88-3.94
K 0.6055 0.8555 0.7500  6 Si 3.53-3.62, 6 In 3.60-3.75, 4 K 3.88-3.94
In 0.2078 0.4578 0.7500  1 Si 2.74
In 0.7922 0.5422 0.2500  1 Si 2.74
Si 0.0393 0.2893 0.7500  2 Si 2.32
Si 0.9607 0.7107 0.2500  2 Si 2.32

Output
* raw total energy: -3.110 eV/atom
* space group: Imma

Entry 6:
Material: KInSi
Method: DFT, GGA-PBE
State: optimized geometry

a = 7.6535 Å, b = 7.6535 Å, c = 7.6535 Å
α = 154.91°, β = 154.91°, γ = 35.77°
Last column: nearest neighbours and their distance in Å.
Fractional positions:
K 0.0000 0.0000 0.0000  4 K 3.32, 4 Si 3.45, 4 In 3.72
In 0.3022 0.3022 0.0000  4 Si 3.01, 4 In 3.32
Si 0.6729 0.6729 0.0000  4 In 3.01, 4 Si 3.32

Output
* raw total energy: -2.849 eV/atom
* space group: I4mm

no.,mass density (Mg/m³)
1,3.44
2,3.06
3,3.79
4,2.87
5,3.48
6,3.75